Material: AgCl
Method: DFT, GGA-PBEsol
State: optimized geometry

Unit cell a=3.602 b=3.602 c=7.027 alpha=90.00 beta=90.00 gamma=120.00
Sites, in units of the cell vectors:
Ag 0.333 0.667 0.250
Ag 0.667 0.333 0.750
Cl 0.000 0.000 0.000
Cl 0.000 0.000 0.500

Computed properties:
E_tot: -3.00 eV/atom
energy relative to the elements, uncorrected: -0.34 eV per atom
symmetry: P6_3/mmc, No. 194
mass density: 6.0 g/cm3